DyEr3Pb2 GGA-PBE optimized geometry; formation energy = -121 meV per atom; relative energy among the computed polymorphs = 276 meV/atom; DFT total energy = -4.405 eV per atom
1.0
-4.553 5.101 -2.392
-3.301 -5.055 -4.497
-0.755 -1.704 8.770
Er Dy Pb
6 2 4
Cartesian
-5.845 0.302 0.800
-4.414 -4.487 -1.167
-4.194 2.830 3.048
-3.102 1.287 -2.320
-4.752 -1.240 -4.569
-2.764 -1.960 1.081
0.000 0.000 0.000
-1.650 -2.527 -2.248
-4.127 -0.310 3.378
-4.416 2.955 -0.080
-4.481 -1.348 -1.496
-4.193 -4.612 1.962